No. 1
## FeHN3 (PBE)

Data for an optimized crystal structure of FeHN3.

a = 3.1950 Å, b = 3.1950 Å, c = 3.1950 Å
α = 90.00°, β = 90.00°, γ = 90.00°
Last column: nearest neighbours and their distance in Å.
Atoms (fractional coordinates):
H: 0.0000 0.0000 0.0000  6 N 1.60
Fe: 0.5000 0.5000 0.5000  12 N 2.26
N: 0.0000 0.5000 0.0000  2 H 1.60
N: 0.0000 0.0000 0.5000  2 H 1.60
N: 0.5000 0.0000 0.0000  2 H 1.60

Summary:
- Electronic total energy: -25.48 eV per cell
- Symmetry: Pm-3m, No. 221



No. 2
## Ba4ZnH2 (PBE)

Data for an optimized crystal structure of Ba4ZnH2.

a = 6.2309 Å, b = 6.2309 Å, c = 8.5021 Å
α = 68.50°, β = 68.50°, γ = 90.00°
Last column: nearest neighbours and their distance in Å.
Atoms (fractional coordinates):
H: 0.5814 0.5814 0.8372  1 H 2.37, 1 Ba 2.52
H: 0.4186 0.4186 0.1628  1 H 2.37, 1 Ba 2.52
Zn: 0.0000 0.0000 0.0000  4 Ba 3.12
Ba: 0.7550 0.7550 0.4899  1 H 2.52
Ba: 0.2450 0.2450 0.5101  1 H 2.52
Ba: 0.0000 0.5000 0.0000  2 Zn 3.12, 4 H 3.33
Ba: 0.5000 0.0000 0.0000  2 Zn 3.12, 4 H 3.33

Summary:
- Electronic total energy: -15.81 eV per cell
- Symmetry: I4/mmm, No. 139



No. 3
## PuU2Si (PBE)

Data for an optimized crystal structure of PuU2Si.

a = 4.3731 Å, b = 4.2140 Å, c = 4.2140 Å
α = 90.00°, β = 90.00°, γ = 90.00°
Last column: nearest neighbours and their distance in Å.
Atoms (fractional coordinates):
Si: 0.5000 0.5000 0.5000  4 Pu 2.98, 8 U 3.04
U: 0.0000 0.0000 0.5000  4 U 2.98, 4 Si 3.04, 4 Pu 3.04
U: 0.0000 0.5000 0.0000  4 U 2.98, 4 Si 3.04, 4 Pu 3.04
Pu: 0.5000 0.0000 0.0000  4 Si 2.98, 8 U 3.04

Summary:
- Electronic total energy: -43.17 eV per cell
- Symmetry: P4/mmm, No. 123



No. 4
## LaTi (PBE)

Data for an optimized crystal structure of LaTi.

a = 3.2839 Å, b = 5.5799 Å, c = 16.5342 Å
α = 90.00°, β = 90.00°, γ = 90.00°
Last column: nearest neighbours and their distance in Å.
Atoms (fractional coordinates):
La: 0.0000 0.5729 0.8382  6 Ti 3.05-3.27, 2 La 3.28
La: 0.5000 0.4271 0.6618  6 Ti 3.05-3.27, 2 La 3.28
La: 0.5000 0.4271 0.3382  6 Ti 3.05-3.27, 2 La 3.28
La: 0.0000 0.5729 0.1618  6 Ti 3.05-3.27, 2 La 3.28
La: 0.0000 0.1303 0.5000  4 Ti 2.96-3.24, 2 La 3.28
La: 0.5000 0.8697 0.0000  4 Ti 2.96-3.24, 2 La 3.28
Ti: 0.0000 0.9243 0.6832  2 Ti 2.88
Ti: 0.5000 0.0757 0.8168  2 Ti 2.88
Ti: 0.5000 0.0757 0.1832  2 Ti 2.88
Ti: 0.0000 0.9243 0.3168  2 Ti 2.88
Ti: 0.0000 0.3120 0.0000  4 La 2.96-3.05, 2 Ti 3.28
Ti: 0.5000 0.6880 0.5000  4 La 2.96-3.05, 2 Ti 3.28

Summary:
- Electronic total energy: -72.12 eV per cell
- Formation energy from the elements: 401 meV/atom
- Symmetry: Pmmn, No. 59



No. 5
## SrTl12Cd6 (PBE)

Data for an optimized crystal structure of SrTl12Cd6.

a = 8.8601 Å, b = 8.8601 Å, c = 8.8601 Å
α = 106.47°, β = 106.47°, γ = 106.47°
Last column: nearest neighbours and their distance in Å.
Atoms (fractional coordinates):
Sr: 0.0000 0.0000 0.0000  6 Tl 3.50
Tl: 0.8847 0.1153 0.5000  4 Cd 3.16-3.32, 3 Tl 3.27-3.30
Tl: 0.8814 0.6344 0.6344  3 Cd 3.05-3.25, 2 Tl 3.30
Tl: 0.6344 0.6344 0.8814  3 Cd 3.05-3.25, 2 Tl 3.30
Tl: 0.3656 0.1186 0.3656  3 Cd 3.05-3.25, 2 Tl 3.30
Tl: 0.3656 0.3656 0.1186  3 Cd 3.05-3.25, 2 Tl 3.30
Tl: 0.1186 0.3656 0.3656  3 Cd 3.05-3.25, 2 Tl 3.30
Tl: 0.1153 0.5000 0.8847  4 Cd 3.16-3.32, 3 Tl 3.27-3.30
Tl: 0.5000 0.8847 0.1153  4 Cd 3.16-3.32, 3 Tl 3.27-3.30
Tl: 0.1153 0.8847 0.5000  4 Cd 3.16-3.32, 3 Tl 3.27-3.30
Tl: 0.8847 0.5000 0.1153  4 Cd 3.16-3.32, 3 Tl 3.27-3.30
Tl: 0.5000 0.1153 0.8847  4 Cd 3.16-3.32, 3 Tl 3.27-3.30
Tl: 0.6344 0.8814 0.6344  3 Cd 3.05-3.25, 2 Tl 3.30
Cd: 0.7043 0.3078 0.3078  7 Tl 3.05-3.32
Cd: 0.3078 0.3078 0.7043  7 Tl 3.05-3.32
Cd: 0.3078 0.7043 0.3078  7 Tl 3.05-3.32
Cd: 0.6922 0.6922 0.2957  7 Tl 3.05-3.32
Cd: 0.2957 0.6922 0.6922  7 Tl 3.05-3.32
Cd: 0.6922 0.2957 0.6922  7 Tl 3.05-3.32

Summary:
- Electronic total energy: -34.84 eV per cell
- Formation energy from the elements: 38 meV/atom
- Symmetry: R-3m, No. 166



No. 6
## PrSmThTc (PBE)

Data for an optimized crystal structure of PrSmThTc.

a = 4.6116 Å, b = 4.6136 Å, c = 7.1937 Å
α = 89.96°, β = 108.70°, γ = 120.04°
Last column: nearest neighbours and their distance in Å.
Atoms (fractional coordinates):
Pr: 0.9465 0.8382 0.7857  3 Th 3.42-3.43, 3 Sm 3.59-3.60, 3 Tc 3.73-3.74
Sm: 0.3737 0.0513 0.4247  3 Tc 3.13, 3 Th 3.40
Th: 0.8300 0.2795 0.1085  3 Tc 2.70-2.71
Tc: 0.5419 0.6355 0.1776  3 Th 2.70-2.71

Summary:
- Electronic total energy: -26.68 eV per cell
- Formation energy from the elements: 151 meV/atom
- Symmetry: Cm, No. 8



No. 7
## TbCeHoSc (PBE)

Data for an optimized crystal structure of TbCeHoSc.

a = 5.5204 Å, b = 5.5204 Å, c = 5.5204 Å
α = 60.00°, β = 60.00°, γ = 60.00°
Last column: nearest neighbours and their distance in Å.
Atoms (fractional coordinates):
Sc: 0.0000 0.0000 0.0000  4 Tb 3.38, 4 Ce 3.38
Tb: 0.2500 0.2500 0.2500  4 Ho 3.38, 4 Sc 3.38
Ho: 0.5000 0.5000 0.5000  4 Ce 3.38, 4 Tb 3.38
Ce: 0.7500 0.7500 0.7500  4 Sc 3.38, 4 Ho 3.38

Summary:
- Electronic total energy: -20.91 eV per cell
- Formation energy from the elements: 141 meV/atom
- Symmetry: F-43m, No. 216



No. 8
## ScTl2InBr6 (PBE)

Data for an optimized crystal structure of ScTl2InBr6.

a = 8.0156 Å, b = 8.0168 Å, c = 8.2035 Å
α = 60.78°, β = 60.79°, γ = 60.02°
Last column: nearest neighbours and their distance in Å.
Atoms (fractional coordinates):
Sc: 0.3236 0.3236 0.0292  6 Br 2.66-2.71
Tl: 0.5329 0.5330 0.4013  6 Br 3.38-3.41
Tl: 0.0223 0.0221 0.9334  6 Br 3.34-3.41
In: 0.8149 0.8150 0.5551  6 Br 3.19-3.39
Br: 0.5507 0.1992 0.2455  1 Sc 2.66
Br: 0.1990 0.0048 0.2457  1 Sc 2.66
Br: 0.0047 0.5508 0.2453  1 Sc 2.66
Br: 0.4426 0.6515 0.7867  1 Sc 2.71
Br: 0.6514 0.1193 0.7867  1 Sc 2.71
Br: 0.1196 0.4424 0.7863  1 Sc 2.71

Summary:
- Electronic total energy: -35.46 eV per cell
- Symmetry: R3, No. 146



> Among the records above, which one has the highest electronic total energy?

Ba4ZnH2



Copy entry 2 word for word.
## Ba4ZnH2 (PBE)

Data for an optimized crystal structure of Ba4ZnH2.

a = 6.2309 Å, b = 6.2309 Å, c = 8.5021 Å
α = 68.50°, β = 68.50°, γ = 90.00°
Last column: nearest neighbours and their distance in Å.
Atoms (fractional coordinates):
H: 0.5814 0.5814 0.8372  1 H 2.37, 1 Ba 2.52
H: 0.4186 0.4186 0.1628  1 H 2.37, 1 Ba 2.52
Zn: 0.0000 0.0000 0.0000  4 Ba 3.12
Ba: 0.7550 0.7550 0.4899  1 H 2.52
Ba: 0.2450 0.2450 0.5101  1 H 2.52
Ba: 0.0000 0.5000 0.0000  2 Zn 3.12, 4 H 3.33
Ba: 0.5000 0.0000 0.0000  2 Zn 3.12, 4 H 3.33

Summary:
- Electronic total energy: -15.81 eV per cell
- Symmetry: I4/mmm, No. 139